No. 1
The following is a PBE-GGA calculation of a relaxed structure of KAu2Cl, from the Alexandria database.

The value obtained for the density is 7685 kg/m³. The total magnetization is 0.00 Bohr magnetons per cell. For the formation energy (no corrections), the calculation gives -239 meV/atom. The crystal system is orthorhombic.

The space group is Pmmm (No. 47) and the conventional cell measures 2.911, 5.546 and 6.271 Å, with angles of 90.00, 90.00 and 90.00 degrees. Symmetry generates all atoms from K at (0.000, 0.000, 0.000), Au at (0.500, 0.249, 0.500) and Cl at (0.000, 0.500, 0.000).



No. 2
The following is a PBE-GGA calculation of a relaxed structure of Sm2Dy2Er2In, from the Alexandria database.

The value obtained for the density is 8155 kg/m³. As for the energy of formation: -0.02 eV per atom. The total magnetization is 0.00 Bohr magnetons per cell. The crystal system is monoclinic.

The space group is C2/m (No. 12) and the conventional cell measures 11.678, 3.517 and 11.539 Å, with angles of 90.00, 112.51 and 90.00 degrees. Symmetry generates all atoms from Sm at (0.032, 0.000, 0.255), Dy at (0.174, 0.000, 0.585), Er at (0.250, 0.000, 0.132) and In at (0.000, 0.500, 0.000).



No. 3
The following is a PBE-GGA calculation of a relaxed structure of Zn2FeCo, from the Alexandria database.

The value obtained for the density is 8159 kg/m³. As for the energy of formation: 0.03 eV per atom. The total magnetization is 7.41 Bohr magnetons per cell. The crystal system is monoclinic.

The space group is C2/m (No. 12) and the conventional cell measures 5.093, 7.646 and 2.569 Å, with angles of 90.00, 91.65 and 90.00 degrees. Symmetry generates all atoms from Zn at (0.250, 0.250, 0.000), Fe at (0.000, 0.000, 0.500) and Co at (0.000, 0.500, 0.500).



No. 4
The following is a PBE-GGA calculation of a relaxed structure of La4NdTm7, from the Alexandria database.

The value obtained for the density is 7616 kg/m³. As for the energy of formation: 0.25 eV per atom. The total magnetization is 0.00 Bohr magnetons per cell. The crystal system is monoclinic.

The space group is C2/m (No. 12) and the conventional cell measures 12.152, 5.917 and 12.890 Å, with angles of 90.00, 117.69 and 90.00 degrees. Symmetry generates all atoms from La at (0.134, 0.000, 0.278), La at (0.218, 0.500, 0.161), Nd at (0.000, 0.500, 0.500), Tm at (0.000, 0.000, 0.500), Tm at (0.071, 0.500, 0.811), Tm at (0.133, 0.000, 0.994) and Tm at (0.211, 0.500, 0.424).



No. 5
The following is a PBE-GGA calculation of a relaxed structure of La2BrCl, from the Alexandria database.

The value obtained for the density is 5462 kg/m³. The total magnetization is 0.00 Bohr magnetons per cell. For the formation energy (no corrections), the calculation gives -1276 meV/atom. The crystal system is monoclinic.

The space group is P2/m (No. 10) and the conventional cell measures 3.786, 4.926 and 6.413 Å, with angles of 90.00, 91.79 and 90.00 degrees. Symmetry generates all atoms from La at (0.235, 0.000, 0.246), Br at (0.500, 0.500, 0.500) and Cl at (0.000, 0.500, 0.000).



No. 6
The following is a PBE-GGA calculation of a relaxed structure of K2LaCeTe4, from the Alexandria database.

The value obtained for the density is 4599 kg/m³. The total magnetization is 1.00 Bohr magnetons per cell. For the formation energy (no corrections), the calculation gives -1418 meV/atom. The crystal system is monoclinic.

The space group is P2/m (No. 10) and the conventional cell measures 8.129, 4.693 and 8.646 Å, with angles of 90.00, 108.27 and 90.00 degrees. Symmetry generates all atoms from K at (0.000, 0.000, 0.000), K at (0.500, 0.500, 0.000), La at (0.000, 0.500, 0.500), Ce at (0.500, 0.000, 0.500), Te at (0.241, 0.000, 0.716) and Te at (0.264, 0.500, 0.286).



No. 7
The following is a PBE-GGA calculation of a relaxed structure of Ce5ScIr5, from the Alexandria database.

The value obtained for the density is 10563 kg/m³. As for the energy of formation: -0.64 eV per atom. The total magnetization is 2.69 Bohr magnetons per cell. The crystal system is monoclinic.

The space group is C2/m (No. 12) and the conventional cell measures 12.550, 5.602 and 8.072 Å, with angles of 90.00, 108.98 and 90.00 degrees. Symmetry generates all atoms from Ce at (0.000, 0.000, 0.000), Ce at (0.168, 0.500, 0.341), Ce at (0.176, 0.500, 0.829), Sc at (0.000, 0.000, 0.500), Ir at (0.000, 0.500, 0.500), Ir at (0.154, 0.000, 0.328) and Ir at (0.162, 0.000, 0.830).



No. 8
The following is a PBE-GGA calculation of a relaxed structure of CdF, from the Alexandria database.

The value obtained for the density is 5284 kg/m³. The total magnetization is 0.00 Bohr magnetons per cell. For the formation energy (no corrections), the calculation gives -1425 meV/atom. The crystal system is tetragonal.

The space group is I4/m (No. 87) and the conventional cell measures 9.313, 9.313 and 3.809 Å, with angles of 90.00, 90.00 and 90.00 degrees. Symmetry generates all atoms from Cd at (0.111, 0.351, 0.000) and F at (0.134, 0.774, 0.000).



No. 9
The following is a PBE-GGA calculation of a relaxed structure of LiAcHo2Se4, from the Alexandria database.

The value obtained for the density is 7287 kg/m³. The total magnetization is 0.00 Bohr magnetons per cell. For the formation energy (no corrections), the calculation gives -1676 meV/atom. The crystal system is orthorhombic.

The space group is Cmcm (No. 63) and the conventional cell measures 4.121, 13.811 and 14.086 Å, with angles of 90.00, 90.00 and 90.00 degrees. Symmetry generates all atoms from Li at (0.000, 0.147, 0.250), Ac at (0.000, 0.121, 0.750), Ho at (0.000, 0.370, 0.557), Se at (0.000, 0.000, 0.000), Se at (0.000, 0.268, 0.119) and Se at (0.000, 0.451, 0.750).



No. 10
The following is a PBE-GGA calculation of a relaxed structure of Al2TeIr, from the Alexandria database.

The value obtained for the density is 8726 kg/m³. The total magnetization is 0.00 Bohr magnetons per cell. For the formation energy (no corrections), the calculation gives 38 meV/atom. The crystal system is orthorhombic.

The space group is Immm (No. 71) and the conventional cell measures 3.795, 4.675 and 8.020 Å, with angles of 90.00, 90.00 and 90.00 degrees. Symmetry generates all atoms from Al at (0.000, 0.000, 0.230), Te at (0.000, 0.500, 0.000) and Ir at (0.000, 0.500, 0.500).



No. 11
The following is a PBE-GGA calculation of a relaxed structure of CrRe2HgH, from the Alexandria database.

The value obtained for the density is 16166 kg/m³. The value obtained for the total energy is -35.26 eV for the cell shown. The total magnetization is 1.50 Bohr magnetons per cell. The crystal system is tetragonal.

The space group is P4/mmm (No. 123) and the conventional cell measures 3.988, 3.988 and 4.043 Å, with angles of 90.00, 90.00 and 90.00 degrees. Symmetry generates all atoms from Cr at (0.000, 0.000, 0.000), Re at (0.000, 0.500, 0.500), Hg at (0.500, 0.500, 0.000) and H at (0.000, 0.000, 0.500).



No. 12
The following is a PBE-GGA calculation of a relaxed structure of Co3IrPb, from the Alexandria database.

The value obtained for the density is 9636 kg/m³. As for the energy of formation: 1.08 eV per atom. The total magnetization is 6.45 Bohr magnetons per cell. The crystal system is cubic.

The space group is Pm-3m (No. 221) and the conventional cell measures 4.631, 4.631 and 4.631 Å, with angles of 90.00, 90.00 and 90.00 degrees. Symmetry generates all atoms from Co at (0.000, 0.000, 0.500), Ir at (0.000, 0.000, 0.000) and Pb at (0.500, 0.500, 0.500).